12
Lattice="-5.2797 -1.9313 -1.3806 3.5758 -4.4666 0.8803 -0.3328 3.1554 4.8419" Properties=species:S:1:pos:R:3 comment="PuScFe2O8, relaxed, DFT PBE with a Hubbard U" spacegroup=I-4m2 final_energy_ev_per_fu=-93.810 pbc="T T T"
O -1.8693 -0.0011 1.0591
O -2.9545 -2.4435 2.5709
O -1.4691 1.5203 3.5777
O -0.4382 -1.5905 3.8142
Sc 0.0000 0.0000 0.0000
Pu 1.1955 -2.2551 2.7360
Fe -3.2323 -0.9874 1.6056
O 0.1291 -2.1467 0.9685
Fe -0.8520 -3.1989 -0.2502
O -3.9491 0.4525 2.3417
O -4.1562 -1.9576 0.4505
O -2.2953 -4.2682 0.3228